No. 1
Li5As at its PBEsol-relaxed geometry. Source: the Alexandria database, functional meta-GGA SCAN.

Computed properties:
Total energy, eV per atom: -5.41
Total magnetic moment, μB per formula unit: 1.77
Formation energy, kJ/mol of atoms: -6
Mass density, g/cm³: 1.8

Cell: 4.7807 4.9354 4.9354 Å, 120.00 90.00 90.00°
Last column: nearest neighbours and their distance in Å.
Element x y z (fractional)
Li 0.5000 0.5000 0.5000  4 Li 2.47
Li 0.5000 0.5000 0.0000  4 Li 2.47
Li 0.0000 0.3333 0.6667  9 Li 2.78-2.85, 3 As 2.85
Li 0.0000 0.6667 0.3333  9 Li 2.78-2.85, 3 As 2.85
Li 0.5000 0.0000 0.5000  4 Li 2.47
As 0.0000 0.0000 0.0000  6 Li 2.85

=====

No. 2
Ta2AgPt at its PBEsol-relaxed geometry. Source: the Alexandria database, functional meta-GGA SCAN.

Computed properties:
Total energy, eV per atom: -58.86
Total magnetic moment, μB per formula unit: 0.00
Formation energy, kJ/mol of atoms: -17
Mass density, g/cm³: 17.0

Cell: 2.7712 4.6425 5.0572 Å, 90.00 90.16 90.00°
Last column: nearest neighbours and their distance in Å.
Element x y z (fractional)
Pt 0.3741 0.5000 0.7888  2 Pt 2.77, 8 Ta 2.82-2.92, 2 Ag 2.85
Ta 0.8782 0.0000 0.9538  4 Ta 2.77-2.90, 4 Pt 2.82-2.83, 4 Ag 2.85-2.92
Ta 0.8719 0.5000 0.2962  4 Ta 2.77-2.90, 4 Ag 2.82-2.83, 4 Pt 2.85-2.92
Ag 0.3759 0.0000 0.4611  2 Ag 2.77, 8 Ta 2.82-2.92, 2 Pt 2.85

=====

No. 3
ZrZnPt at its PBEsol-relaxed geometry. Source: the Alexandria database, functional meta-GGA SCAN.

Computed properties:
Total energy, eV per atom: -38.91
Total magnetic moment, μB per formula unit: 0.00
Formation energy, kJ/mol of atoms: -74
Mass density, g/cm³: 11.9

Cell: 2.8992 3.9762 4.9195 Å, 113.84 107.14 90.00°
Last column: nearest neighbours and their distance in Å.
Element x y z (fractional)
Pt 0.9932 0.9932 0.9865  5 Zn 2.78-2.96, 5 Zr 2.78-2.87, 2 Pt 2.90
Zn 0.3403 0.3403 0.6806  5 Zr 2.78-2.87, 5 Pt 2.78-2.96, 2 Zn 2.90
Zr 0.6664 0.6664 0.3329  5 Zn 2.78-2.87, 5 Pt 2.78-2.87, 2 Zr 2.90